# 1
ZrCo3Mo after structural relaxation. Source: Alexandria, functional GGA-PBE.

Structure (CIF):
```
data_ZrCo3Mo
_cell_length_a 4.3831
_cell_length_b 4.3831
_cell_length_c 4.3831
_cell_angle_alpha 90.00
_cell_angle_beta 90.00
_cell_angle_gamma 90.00
_space_group_name_H-M_alt 'P 1'
_space_group_IT_number 1
loop_
_space_group_symop_operation_xyz
'x,y,z'
loop_
_atom_site_label
_atom_site_fract_x
_atom_site_fract_y
_atom_site_fract_z
Zr1 0.0000 0.0000 0.0000
Co1 0.0000 0.5000 0.5000
Co2 0.5000 0.0000 0.5000
Co3 0.5000 0.5000 0.0000
Mo1 0.5000 0.5000 0.5000
```

Computed properties:
Polymorph energy (0 for the lowest one) in eV/atom: 0.0000
Energy relative to the elements in meV per atom: 878.8

# 2
K2AgO2 after structural relaxation. Source: Alexandria, functional GGA-PBE.

Structure (CIF):
```
data_K2AgO2
_cell_length_a 3.9457
_cell_length_b 3.9457
_cell_length_c 13.9886
_cell_angle_alpha 90.00
_cell_angle_beta 90.00
_cell_angle_gamma 90.00
_space_group_name_H-M_alt 'P 1'
_space_group_IT_number 1
loop_
_space_group_symop_operation_xyz
'x,y,z'
loop_
_atom_site_label
_atom_site_fract_x
_atom_site_fract_y
_atom_site_fract_z
K1 0.0000 0.0000 0.1610
K2 0.0000 0.0000 0.8390
K3 0.5000 0.5000 0.3390
K4 0.5000 0.5000 0.6610
Ag1 0.0000 0.0000 0.5000
Ag2 0.5000 0.5000 0.0000
O1 0.0000 0.0000 0.3583
O2 0.0000 0.0000 0.6417
O3 0.5000 0.5000 0.1417
O4 0.5000 0.5000 0.8583
```

Computed properties:
Polymorph energy (0 for the lowest one) in eV/atom: 0.0000
Formation energy without anion corrections in eV per atom: -0.83

# 3
HfZnCr2As after structural relaxation. Source: Alexandria, functional GGA-PBE.

Structure (CIF):
```
data_HfZnCr2As
_cell_length_a 4.4780
_cell_length_b 4.4780
_cell_length_c 4.5646
_cell_angle_alpha 90.00
_cell_angle_beta 90.00
_cell_angle_gamma 90.00
_space_group_name_H-M_alt 'P 1'
_space_group_IT_number 1
loop_
_space_group_symop_operation_xyz
'x,y,z'
loop_
_atom_site_label
_atom_site_fract_x
_atom_site_fract_y
_atom_site_fract_z
Hf1 0.0000 0.0000 0.0000
Zn1 0.5000 0.5000 0.0000
Cr1 0.0000 0.5000 0.5000
Cr2 0.5000 0.0000 0.5000
As1 0.5000 0.5000 0.5000
```

Computed properties:
Energy relative to the elements in meV per atom: 681.1

# 4
NbAlVW after structural relaxation. Source: Alexandria, functional GGA-PBE.

Structure (CIF):
```
data_NbAlVW
_cell_length_a 6.3384
_cell_length_b 6.3384
_cell_length_c 6.3384
_cell_angle_alpha 90.00
_cell_angle_beta 90.00
_cell_angle_gamma 90.00
_space_group_name_H-M_alt 'P 1'
_space_group_IT_number 1
loop_
_space_group_symop_operation_xyz
'x,y,z'
loop_
_atom_site_label
_atom_site_fract_x
_atom_site_fract_y
_atom_site_fract_z
Nb1 0.0000 0.0000 0.0000
Nb2 0.0000 0.5000 0.5000
Nb3 0.5000 0.0000 0.5000
Nb4 0.5000 0.5000 0.0000
Al1 0.2500 0.2500 0.2500
Al2 0.2500 0.7500 0.7500
Al3 0.7500 0.2500 0.7500
Al4 0.7500 0.7500 0.2500
V1 0.0000 0.0000 0.5000
V2 0.0000 0.5000 0.0000
V3 0.5000 0.0000 0.0000
V4 0.5000 0.5000 0.5000
W1 0.2500 0.2500 0.7500
W2 0.2500 0.7500 0.2500
W3 0.7500 0.2500 0.2500
W4 0.7500 0.7500 0.7500
```

Computed properties:
Energy relative to the elements in meV per atom: -49.7

# 5
ZrTl2InP after structural relaxation. Source: Alexandria, functional GGA-PBE.

Structure (CIF):
```
data_ZrTl2InP
_cell_length_a 5.3460
_cell_length_b 5.3460
_cell_length_c 4.9640
_cell_angle_alpha 90.00
_cell_angle_beta 90.00
_cell_angle_gamma 90.00
_space_group_name_H-M_alt 'P 1'
_space_group_IT_number 1
loop_
_space_group_symop_operation_xyz
'x,y,z'
loop_
_atom_site_label
_atom_site_fract_x
_atom_site_fract_y
_atom_site_fract_z
Zr1 0.0000 0.0000 0.0000
Tl1 0.0000 0.5000 0.5000
Tl2 0.5000 0.0000 0.5000
In1 0.5000 0.5000 0.0000
P1 0.5000 0.5000 0.5000
```

Computed properties:
Energy relative to the elements in meV per atom: 782.8

# 6
Sm2Cd16Au after structural relaxation. Source: Alexandria, functional GGA-PBE.

Structure (CIF):
```
data_Sm2Cd16Au
_cell_length_a 7.6469
_cell_length_b 7.6469
_cell_length_c 7.6469
_cell_angle_alpha 82.00
_cell_angle_beta 82.00
_cell_angle_gamma 82.00
_space_group_name_H-M_alt 'P 1'
_space_group_IT_number 1
loop_
_space_group_symop_operation_xyz
'x,y,z'
loop_
_atom_site_label
_atom_site_fract_x
_atom_site_fract_y
_atom_site_fract_z
Sm1 0.0000 0.0000 0.0000
Sm2 0.3426 0.3426 0.3426
Cd1 0.0200 0.0200 0.5441
Cd2 0.0200 0.5441 0.0200
Cd3 0.1972 0.6558 0.6558
Cd4 0.3024 0.3024 0.8732
Cd5 0.3024 0.8732 0.3024
Cd6 0.3727 0.6762 0.9758
Cd7 0.3727 0.9758 0.6762
Cd8 0.5441 0.0200 0.0200
Cd9 0.5925 0.5925 0.5925
Cd10 0.6558 0.1972 0.6558
Cd11 0.6558 0.6558 0.1972
Cd12 0.6762 0.3727 0.9758
Cd13 0.6762 0.9758 0.3727
Cd14 0.8732 0.3024 0.3024
Cd15 0.9758 0.3727 0.6762
Cd16 0.9758 0.6762 0.3727
Au1 0.7914 0.7914 0.7914
```

Computed properties:
Energy relative to the elements in meV per atom: -155.6

# 7
CaZrRh after structural relaxation. Source: Alexandria, functional GGA-PBE.

Structure (CIF):
```
data_CaZrRh
_cell_length_a 6.6078
_cell_length_b 6.6078
_cell_length_c 6.6078
_cell_angle_alpha 90.00
_cell_angle_beta 90.00
_cell_angle_gamma 90.00
_space_group_name_H-M_alt 'P 1'
_space_group_IT_number 1
loop_
_space_group_symop_operation_xyz
'x,y,z'
loop_
_atom_site_label
_atom_site_fract_x
_atom_site_fract_y
_atom_site_fract_z
Ca1 0.0000 0.0000 0.0000
Ca2 0.0000 0.5000 0.5000
Ca3 0.5000 0.0000 0.5000
Ca4 0.5000 0.5000 0.0000
Zr1 0.0000 0.0000 0.5000
Zr2 0.0000 0.5000 0.0000
Zr3 0.5000 0.0000 0.0000
Zr4 0.5000 0.5000 0.5000
Rh1 0.2500 0.2500 0.2500
Rh2 0.2500 0.7500 0.7500
Rh3 0.7500 0.2500 0.7500
Rh4 0.7500 0.7500 0.2500
```

Computed properties:
Polymorph energy (0 for the lowest one) in eV/atom: 0.3428
Energy relative to the elements in meV per atom: -149.2

# 8
HfAlH2 after structural relaxation. Source: Alexandria, functional GGA-PBE.

Structure (CIF):
```
data_HfAlH2
_cell_length_a 4.3406
_cell_length_b 4.3406
_cell_length_c 9.4390
_cell_angle_alpha 90.00
_cell_angle_beta 90.00
_cell_angle_gamma 90.00
_space_group_name_H-M_alt 'P 1'
_space_group_IT_number 1
loop_
_space_group_symop_operation_xyz
'x,y,z'
loop_
_atom_site_label
_atom_site_fract_x
_atom_site_fract_y
_atom_site_fract_z
Hf1 0.0000 0.0000 0.0000
Hf2 0.0000 0.5000 0.2500
Hf3 0.5000 0.0000 0.7500
Hf4 0.5000 0.5000 0.5000
Al1 0.0000 0.0000 0.5000
Al2 0.0000 0.5000 0.7500
Al3 0.5000 0.0000 0.2500
Al4 0.5000 0.5000 0.0000
H1 0.2468 0.2500 0.1250
H2 0.2500 0.7468 0.3750
H3 0.2500 0.7532 0.8750
H4 0.2532 0.2500 0.6250
H5 0.7468 0.7500 0.6250
H6 0.7500 0.2468 0.8750
H7 0.7500 0.2532 0.3750
H8 0.7532 0.7500 0.1250
```

Computed properties:
Polymorph energy (0 for the lowest one) in eV/atom: 0.0000

# 9
Dy2AgH after structural relaxation. Source: Alexandria, functional GGA-PBE.

Structure (CIF):
```
data_Dy2AgH
_cell_length_a 3.6330
_cell_length_b 3.6330
_cell_length_c 21.8379
_cell_angle_alpha 90.00
_cell_angle_beta 90.00
_cell_angle_gamma 120.00
_space_group_name_H-M_alt 'P 1'
_space_group_IT_number 1
loop_
_space_group_symop_operation_xyz
'x,y,z'
loop_
_atom_site_label
_atom_site_fract_x
_atom_site_fract_y
_atom_site_fract_z
Dy1 0.0000 0.0000 0.2290
Dy2 0.0000 0.0000 0.7710
Dy3 0.3333 0.6667 0.4376
Dy4 0.3333 0.6667 0.8957
Dy5 0.6667 0.3333 0.1043
Dy6 0.6667 0.3333 0.5624
Ag1 0.0000 0.0000 0.0000
Ag2 0.3333 0.6667 0.6667
Ag3 0.6667 0.3333 0.3333
H1 0.0000 0.0000 0.5000
H2 0.3333 0.6667 0.1667
H3 0.6667 0.3333 0.8333
```

Computed properties:
Calculated total energy in eV for the cell shown: -48.40

# 10
NdYTeC after structural relaxation. Source: Alexandria, functional GGA-PBE.

Structure (CIF):
```
data_NdYTeC
_cell_length_a 3.8906
_cell_length_b 3.8906
_cell_length_c 21.7252
_cell_angle_alpha 90.00
_cell_angle_beta 90.00
_cell_angle_gamma 120.00
_space_group_name_H-M_alt 'P 1'
_space_group_IT_number 1
loop_
_space_group_symop_operation_xyz
'x,y,z'
loop_
_atom_site_label
_atom_site_fract_x
_atom_site_fract_y
_atom_site_fract_z
Nd1 0.0000 0.0000 0.0000
Nd2 0.3333 0.6667 0.6667
Nd3 0.6667 0.3333 0.3333
Y1 0.0000 0.0000 0.2077
Y2 0.3333 0.6667 0.8744
Y3 0.6667 0.3333 0.5410
Te1 0.0000 0.0000 0.7748
Te2 0.3333 0.6667 0.4415
Te3 0.6667 0.3333 0.1081
C1 0.0000 0.0000 0.6018
C2 0.3333 0.6667 0.2685
C3 0.6667 0.3333 0.9351
```

Computed properties:
Formation energy without anion corrections in eV per atom: -0.79

# 11
CuH3 after structural relaxation. Source: Alexandria, functional GGA-PBE.

Structure (CIF):
```
data_CuH3
_cell_length_a 2.2731
_cell_length_b 8.1915
_cell_length_c 4.5258
_cell_angle_alpha 90.00
_cell_angle_beta 90.00
_cell_angle_gamma 90.00
_space_group_name_H-M_alt 'P 1'
_space_group_IT_number 1
loop_
_space_group_symop_operation_xyz
'x,y,z'
loop_
_atom_site_label
_atom_site_fract_x
_atom_site_fract_y
_atom_site_fract_z
Cu1 0.0000 0.0000 0.0000
Cu2 0.5000 0.5000 0.5000
H1 0.0000 0.3710 0.6302
H2 0.0000 0.5000 0.2330
H3 0.0000 0.6290 0.6302
H4 0.5000 0.0000 0.7330
H5 0.5000 0.1290 0.1302
H6 0.5000 0.8710 0.1302
```

Computed properties:
Polymorph energy (0 for the lowest one) in eV/atom: 0.0000

# 12
MgAg3N after structural relaxation. Source: Alexandria, functional GGA-PBE.

Structure (CIF):
```
data_MgAg3N
_cell_length_a 4.4566
_cell_length_b 4.4566
_cell_length_c 4.4566
_cell_angle_alpha 90.00
_cell_angle_beta 90.00
_cell_angle_gamma 90.00
_space_group_name_H-M_alt 'P 1'
_space_group_IT_number 1
loop_
_space_group_symop_operation_xyz
'x,y,z'
loop_
_atom_site_label
_atom_site_fract_x
_atom_site_fract_y
_atom_site_fract_z
Mg1 0.0000 0.0000 0.0000
Ag1 0.0000 0.5000 0.5000
Ag2 0.5000 0.0000 0.5000
Ag3 0.5000 0.5000 0.0000
N1 0.5000 0.5000 0.5000
```

Computed properties:
Polymorph energy (0 for the lowest one) in eV/atom: 0.0000
Formation energy without anion corrections in eV per atom: 0.54

# 13
LaCuGePb2 after structural relaxation. Source: Alexandria, functional GGA-PBE.

Structure (CIF):
```
data_LaCuGePb2
_cell_length_a 5.4059
_cell_length_b 5.4059
_cell_length_c 5.7867
_cell_angle_alpha 90.00
_cell_angle_beta 90.00
_cell_angle_gamma 90.00
_space_group_name_H-M_alt 'P 1'
_space_group_IT_number 1
loop_
_space_group_symop_operation_xyz
'x,y,z'
loop_
_atom_site_label
_atom_site_fract_x
_atom_site_fract_y
_atom_site_fract_z
La1 0.0000 0.0000 0.0000
Cu1 0.5000 0.5000 0.0000
Ge1 0.0000 0.0000 0.5000
Pb1 0.0000 0.5000 0.5000
Pb2 0.5000 0.0000 0.5000
```

Computed properties:
Polymorph energy (0 for the lowest one) in eV/atom: 0.0000
Energy relative to the elements in meV per atom: 422.5

# 14
TaHgPt2 after structural relaxation. Source: Alexandria, functional GGA-PBE.

Structure (CIF):
```
data_TaHgPt2
_cell_length_a 2.8734
_cell_length_b 4.8535
_cell_length_c 4.9619
_cell_angle_alpha 90.00
_cell_angle_beta 90.03
_cell_angle_gamma 90.00
_space_group_name_H-M_alt 'P 1'
_space_group_IT_number 1
loop_
_space_group_symop_operation_xyz
'x,y,z'
loop_
_atom_site_label
_atom_site_fract_x
_atom_site_fract_y
_atom_site_fract_z
Ta1 0.0000 0.0000 0.0000
Hg1 0.9981 0.5000 0.3657
Pt1 0.4982 0.5000 0.8685
Pt2 0.4990 0.0000 0.5078
```

Computed properties:
Energy relative to the elements in meV per atom: -187.4